Entry from the Alexandria database: MnIr2Rh6 after structural relaxation (PBE).

Output
E_tot   -69.949 eV for the cell shown
Formation energy   0.117 eV per atom
Calculated volume   132.5 Å³ per cell
SG   Immm (71)
Polymorph energy (0 for the lowest one)   0.000 eV/atom

Cell lengths 2.709, 13.502, 7.781 Å; angles 150.18, 100.04, 90.00 degrees
Fractional positions:
1 Rh 0.675 0.850 0.349
2 Rh 0.325 0.150 0.651
3 Rh 0.675 0.499 0.349
4 Ir 0.189 0.189 0.378
5 Rh 0.325 0.501 0.651
6 Mn 0.000 0.500 0.000
7 Rh 0.500 0.857 0.000
8 Ir 0.811 0.811 0.622
9 Rh 0.500 0.143 0.000